(1)
DyFeTe (GGA-PBE, optimized geometry); E_tot = -4.954 eV per atom; SG = P-6m2 (187)
1.0
-3.462 -3.556 -1.639
4.515 -1.539 2.136
-1.335 -0.001 2.820
Te Dy Fe
1 1 1
Cartesian
0.000 0.000 0.000
-0.803 -2.884 -0.381
1.856 -2.212 0.878

(2)
Zr2Al2CuAu3 (GGA-PBE, optimized geometry); E_tot = -5.263 eV per atom; SG = P3m1 (156)
1.0
4.413 0.000 0.000
-2.206 3.821 0.000
0.000 0.000 8.618
Al Zr Au Cu
2 2 3 1
Cartesian
0.000 2.548 4.279
0.000 2.548 0.162
2.206 1.274 2.093
0.000 0.000 6.494
2.206 1.274 7.906
2.206 1.274 5.072
0.000 0.000 3.434
0.000 0.000 0.723

(3)
Lu2W (GGA-PBE, optimized geometry); E_tot = -6.159 eV per atom; calculated formation energy = 1.177 eV per atom; SG = Fd-3m (227)
1.0
-4.792 1.067 3.001
-2.324 5.263 -0.066
-4.972 0.916 -2.748
W Lu
2 4
Cartesian
0.000 0.000 0.000
-3.022 1.811 0.047
-5.159 3.995 -1.383
-6.393 1.897 0.150
-7.555 4.529 0.117
-5.069 4.071 1.491

(4)
LaHfAsO (GGA-PBE, optimized geometry); offset from the most stable computed form = 0.000 eV/atom; E_tot = -8.105 eV per atom; SG = P4/nmm (129)
1.0
4.247 0.000 0.000
0.000 4.247 0.000
0.000 0.000 9.181
As La Hf O
2 2 2 2
Cartesian
0.000 2.123 2.908
2.123 0.000 6.274
0.000 2.123 8.043
2.123 0.000 1.139
0.000 0.000 4.591
2.123 2.123 4.591
0.000 0.000 0.000
2.123 2.123 0.000

(5)
Li4Al2ZnHg (GGA-PBE, optimized geometry); E_tot = -2.340 eV per atom; SG = P-4m2 (115)
1.0
4.417 0.000 0.000
0.000 4.417 0.000
0.000 0.000 6.271
Li Hg Al Zn
4 1 2 1
Cartesian
0.000 0.000 0.000
2.209 2.209 3.135
0.000 2.209 4.763
2.209 0.000 1.507
0.000 0.000 3.135
0.000 2.209 1.483
2.209 0.000 4.788
2.209 2.209 0.000

(6)
TbDyNi (GGA-PBE, optimized geometry); offset from the most stable computed form = 0.094 eV/atom; E_tot = -5.082 eV per atom; calculated formation energy = -0.149 eV per atom; SG = F-43m (216)
1.0
0.000 3.350 3.350
3.350 0.000 3.350
3.350 3.350 0.000
Ni Dy Tb
1 1 1
Cartesian
0.000 0.000 0.000
1.675 1.675 1.675
5.025 5.025 5.025

(7)
Si3Tc5 (GGA-PBE, optimized geometry); offset from the most stable computed form = 0.015 eV/atom; E_tot = -8.895 eV per atom; SG = P6_3/mcm (193)
1.0
7.101 0.000 0.000
-3.551 6.150 0.000
0.000 0.000 5.021
Si Tc
6 10
Cartesian
-2.153 3.729 1.255
4.306 0.000 1.255
-1.398 2.421 3.766
2.153 3.729 3.766
2.795 0.000 3.766
1.398 2.421 1.255
3.551 2.050 0.000
3.551 2.050 2.511
0.846 1.465 3.766
1.691 0.000 1.255
5.410 0.000 3.766
0.000 4.100 0.000
-0.846 1.465 1.255
2.705 4.685 1.255
0.000 4.100 2.511
-2.705 4.685 3.766

(8)
NaSrHoS3 (GGA-PBE, optimized geometry); offset from the most stable computed form = 0.000 eV/atom; E_tot = -5.209 eV per atom; SG = C2/m (12)
1.0
8.523 -1.999 0.000
8.523 1.999 0.000
-2.243 0.000 8.401
Sr S Na Ho
2 6 2 2
Cartesian
2.164 0.000 0.560
12.638 0.000 7.841
9.748 0.000 6.799
-1.121 0.000 4.200
5.054 0.000 1.602
4.212 0.000 5.339
10.591 0.000 3.062
8.523 0.000 0.000
7.794 0.000 2.491
7.009 0.000 5.910
1.517 0.000 4.927
13.286 0.000 3.474

(9)
LuHfGe (GGA-PBE, optimized geometry); E_tot = -6.621 eV per atom; SG = F-43m (216)
1.0
0.000 3.265 3.265
3.265 0.000 3.265
3.265 3.265 0.000
Ge Lu Hf
1 1 1
Cartesian
0.000 0.000 0.000
4.898 4.898 4.898
1.633 1.633 1.633

(10)
ScAl2Co (GGA-PBE, optimized geometry); E_tot = -5.600 eV per atom; SG = F-43m (216)
1.0
-2.271 -3.715 -0.440
-3.091 -1.034 2.920
-4.223 0.139 -1.142
Sc Al Co
1 2 1
Cartesian
-4.793 -2.305 0.669
-7.189 -3.458 1.004
0.000 0.000 0.000
-2.396 -1.153 0.335

(11)
PmMoPd (GGA-PBE, optimized geometry); offset from the most stable computed form = 0.462 eV/atom; E_tot = -5.962 eV per atom; calculated formation energy = 0.961 eV per atom; SG = F-43m (216)
1.0
0.000 3.309 3.309
3.309 0.000 3.309
3.309 3.309 0.000
Mo Pd Pm
1 1 1
Cartesian
1.654 1.654 1.654
4.963 4.963 4.963
0.000 0.000 0.000

(12)
Nd2Y2CI3Cl2 (GGA-PBE, optimized geometry); offset from the most stable computed form = 0.023 eV/atom; E_tot = -5.329 eV per atom; SG = C2/m (12)
1.0
9.044 -1.980 0.000
9.044 1.980 0.000
-1.921 0.000 8.374
Y Nd I C Cl
2 2 3 1 2
Cartesian
-1.530 0.000 6.785
17.696 0.000 1.589
11.484 0.000 0.525
4.683 0.000 7.849
2.398 0.000 2.937
13.769 0.000 5.437
8.083 0.000 4.187
9.044 0.000 0.000
1.300 0.000 6.983
14.866 0.000 1.392

(13)
Li3Y3Nb2O12 (GGA-PBE, optimized geometry); E_tot = -7.869 eV per atom; SG = Ia-3d (230)
1.0
-3.003 -10.083 -1.818
10.659 0.602 -0.048
-3.700 3.157 9.504
O Y Li Nb
48 12 12 8
Cartesian
4.522 0.439 8.113
-1.099 -4.109 0.823
-3.047 -6.815 6.572
-2.785 1.709 8.457
4.851 0.498 5.219
1.771 -1.008 7.573
3.280 -2.914 -0.306
-1.929 -4.698 7.745
-3.580 -0.888 7.957
-0.565 -6.763 -0.474
6.875 -3.271 1.878
-2.918 -3.052 5.760
2.747 -1.851 5.130
2.217 1.509 6.244
5.571 -1.858 3.724
-0.894 -6.822 2.420
1.702 -6.974 3.918
4.532 -0.251 1.733
4.680 -4.848 0.881
5.316 3.048 8.550
-3.651 -6.990 2.397
0.676 -3.410 7.944
5.055 -2.214 6.816
-0.501 0.470 3.761
4.499 -7.713 1.375
0.249 -2.259 4.293
-1.359 -9.372 -0.912
1.209 -4.473 2.508
5.886 -1.626 -0.107
-0.542 1.390 6.263
6.742 -8.033 -0.819
2.358 -2.091 2.164
2.254 0.650 3.720
7.607 0.666 5.241
7.004 0.491 1.066
7.537 -5.436 -0.318
4.458 -6.794 3.877
-0.357 -1.491 1.295
1.739 -7.833 1.394
1.599 -4.232 5.474
-4.089 -5.160 4.622
2.185 -5.316 0.066
-0.575 -6.073 5.905
-0.723 -1.476 6.757
4.314 -4.833 6.343
3.707 -4.064 3.345
-1.614 -4.466 3.914
8.046 -1.164 3.017
-2.275 -6.699 4.338
-2.220 -7.958 0.780
-4.157 -4.725 6.947
4.611 -2.615 1.664
2.880 -3.088 7.144
8.114 -1.599 0.691
0.934 -0.322 5.468
6.177 1.634 6.859
-0.654 -3.708 5.974
6.232 0.375 3.301
3.022 -6.002 2.171
1.076 -3.236 0.494
1.260 -6.079 5.508
2.697 -0.245 2.131
6.525 -4.986 1.198
-0.948 1.652 8.077
4.556 -1.356 5.222
-2.569 -1.338 6.441
-0.599 -4.967 2.416
-0.806 -1.262 3.104
4.904 -7.976 -0.439
4.762 -5.062 4.535
2.674 0.618 7.832
1.282 -6.942 -0.193
0.000 0.000 0.000
1.978 -3.162 3.819
-3.351 -3.463 3.843
-1.502 -5.041 -0.909
3.480 1.880 4.728
5.330 0.301 -0.024
-1.850 1.578 4.752
3.828 -4.740 -0.933

(14)
Gd2LuBi3 (GGA-PBE, optimized geometry); E_tot = -5.187 eV per atom; SG = P-3m1 (164)
1.0
-4.376 -0.830 0.232
2.016 0.245 -3.971
2.057 -10.737 0.382
Gd Lu Bi
2 1 3
Cartesian
1.595 -9.036 -2.252
-1.898 -2.286 -1.105
1.029 -5.368 0.191
0.583 -3.755 -2.440
0.000 0.000 0.000
-0.886 -7.567 -0.916

(15)
Li4Zr2O5 (GGA-PBE, optimized geometry); E_tot = -6.859 eV per atom; SG = Cmmm (65)
1.0
1.065 1.773 3.709
-3.564 5.588 -1.649
-4.066 -0.500 1.406
O Li Zr
5 4 2
Cartesian
0.532 0.887 1.855
-4.576 4.360 1.660
-1.990 2.502 1.806
-4.573 1.432 0.628
-3.057 3.656 -0.870
-2.550 1.723 -0.092
0.000 0.000 0.000
-1.501 0.637 2.558
-5.080 3.365 -0.151
-2.529 4.556 0.979
-4.037 2.305 2.488

(16)
TaHg2Au2 (GGA-PBE, optimized geometry); offset from the most stable computed form = 0.000 eV/atom; E_tot = -3.177 eV per atom; calculated formation energy = 0.619 eV per atom; SG = I4/mmm (139)
1.0
-1.958 1.958 6.742
1.958 -1.958 6.742
1.958 1.958 -6.742
Ta Hg Au
1 2 2
Cartesian
0.000 0.000 0.000
1.958 0.000 3.371
0.000 1.958 3.371
0.000 0.000 5.454
0.000 0.000 8.030

(17)
Al7W5 (GGA-PBE, optimized geometry); offset from the most stable computed form = 0.036 eV/atom; E_tot = -7.376 eV per atom; SG = P6_3/mmc (194)
1.0
-0.376 -4.147 -3.145
2.492 -0.406 4.566
-14.209 -4.303 7.374
W Al
10 14
Cartesian
-10.477 -5.291 8.230
-10.565 -6.764 3.644
-1.615 -3.565 0.565
-9.292 -6.971 5.975
-1.720 -4.209 3.546
-2.800 -1.885 2.820
-4.329 -4.387 1.973
-7.763 -4.469 6.822
-10.373 -4.647 5.249
-1.528 -2.092 5.151
-0.213 -2.183 2.904
-7.292 -4.225 2.114
-6.046 -4.428 4.398
-0.188 -2.073 -1.572
-11.879 -6.673 5.891
1.058 -2.276 0.711
-3.819 -3.275 4.775
-8.575 -2.597 4.450
-12.738 -3.858 6.610
-8.274 -5.581 4.020
-1.471 -0.445 0.763
-5.634 -1.706 2.924
-5.858 -2.355 5.970
1.246 -0.203 2.283

(18)
KDyBe (GGA-PBE, optimized geometry); E_tot = -1.630 eV per atom; SG = F-43m (216)
1.0
0.000 3.501 3.501
3.501 0.000 3.501
3.501 3.501 0.000
Dy Be K
1 1 1
Cartesian
0.000 0.000 0.000
3.501 3.501 3.501
1.751 1.751 1.751

(19)
LaBMo (GGA-PBE, optimized geometry); offset from the most stable computed form = 0.000 eV/atom; E_tot = -6.819 eV per atom; SG = F-43m (216)
1.0
0.000 3.047 3.047
3.047 0.000 3.047
3.047 3.047 0.000
B Mo La
1 1 1
Cartesian
0.000 0.000 0.000
4.571 4.571 4.571
1.524 1.524 1.524

(20)
InSbW4N2 (GGA-PBE, optimized geometry); E_tot = -8.966 eV per atom; SG = P-6m2 (187)
1.0
-1.478 1.773 -1.979
-1.425 -1.022 2.484
4.285 11.691 7.272
N W Sb In
2 4 1 1
Cartesian
-0.353 2.883 2.846
1.752 8.626 6.418
-0.750 2.780 0.714
2.812 7.672 4.772
1.473 4.019 2.500
2.114 10.593 5.574
0.682 6.686 3.144
0.000 0.000 0.000

(21)
BPt (GGA-PBE, optimized geometry); E_tot = -6.538 eV per atom; SG = C2/m (12)
1.0
-2.754 -0.854 -1.105
-0.179 -2.067 -2.287
0.765 -3.228 4.982
B Pt
2 2
Cartesian
-2.076 -4.401 -0.004
-0.092 -1.749 1.595
-2.000 -2.824 -1.459
-0.167 -3.325 3.049

(22)
HfZrCS (GGA-PBE, optimized geometry); offset from the most stable computed form = 0.000 eV/atom; E_tot = -9.309 eV per atom; SG = P6_3mc (186)
1.0
-0.567 -2.860 -1.755
2.872 1.759 -0.493
5.455 -6.451 8.751
Hf S C Zr
2 2 2 2
Cartesian
6.636 -5.588 6.963
2.762 -3.902 2.167
3.105 -1.413 1.300
4.687 -6.178 5.254
5.433 -6.426 8.717
2.706 -3.201 4.341
5.003 -3.657 4.344
1.129 -1.971 -0.452